Here is a relaxed TbDy2NiSn3Ir2 crystal from OQMD. Energies are from PBE-GGA.

Cell: 3.8275 7.5258 7.5258 Å, 120.02 90.00 90.00°
Closest atoms and distances in Å follow each position.
Atoms (fractional coordinates):
Dy 0.0000 0.5943 0.0000  4 Ir 2.98, 1 Ni 3.05, 6 Sn 3.19-3.29
Dy 0.0000 0.0000 0.5943  4 Ir 2.98, 1 Ni 3.05, 6 Sn 3.19-3.29
Ir 0.5000 0.6669 0.3333  3 Sn 2.84-2.85, 4 Dy 2.98, 2 Tb 2.98
Ir 0.5000 0.3333 0.6669  3 Sn 2.84-2.85, 4 Dy 2.98, 2 Tb 2.98
Ni 0.0000 0.0000 0.0000  6 Sn 2.71
Sn 0.5000 0.9998 0.2553  2 Ni 2.71, 2 Ir 2.84-2.85
Sn 0.5000 0.7448 0.7448  2 Ni 2.71, 2 Ir 2.85
Sn 0.5000 0.2553 0.9998  2 Ni 2.71, 2 Ir 2.84-2.85
Tb 0.0000 0.4058 0.4058  4 Ir 2.98, 1 Ni 3.05, 6 Sn 3.19-3.29

Calculated values
For the raw total energy, the calculation gives -6.253 eV per atom. The value obtained for the magnetization is 0.00 μB/f.u.

=====

Here is a relaxed Dy3Zn3Ni2Ir crystal from OQMD. Energies are from PBE-GGA.

Cell: 7.0506 7.0506 3.8314 Å, 90.00 90.00 120.00°
Closest atoms and distances in Å follow each position.
Atoms (fractional coordinates):
Dy 0.5936 0.0000 0.5000  1 Ir 2.87, 4 Ni 2.87, 6 Zn 3.06-3.16
Dy 0.4064 0.4064 0.5000  1 Ir 2.87, 4 Ni 2.87, 6 Zn 3.06-3.16
Dy 0.0000 0.5936 0.5000  1 Ir 2.87, 4 Ni 2.87, 6 Zn 3.06-3.16
Ir 0.0000 0.0000 0.5000  6 Zn 2.63, 3 Dy 2.87
Ni 0.6667 0.3333 0.0000  3 Zn 2.67, 6 Dy 2.87
Ni 0.3333 0.6667 0.0000  3 Zn 2.67, 6 Dy 2.87
Zn 0.2555 0.0000 0.0000  2 Ir 2.63, 2 Ni 2.67
Zn 0.0000 0.2555 0.0000  2 Ir 2.63, 2 Ni 2.67
Zn 0.7445 0.7445 0.0000  2 Ir 2.63, 2 Ni 2.67

Calculated values
Its formation energy is -0.515 eV per atom. For the raw total energy, the calculation gives -4.692 eV per atom. The value obtained for the magnetization is 0.01 μB/f.u.

=====

Here is a relaxed Dy3Zn3NiIr2 crystal from OQMD. Energies are from PBE-GGA.

Cell: 7.0881 7.0881 3.8437 Å, 90.00 90.00 120.00°
Closest atoms and distances in Å follow each position.
Atoms (fractional coordinates):
Dy 0.5934 0.0000 0.0000  1 Ni 2.88, 4 Ir 2.88, 6 Zn 3.16
Dy 0.4066 0.4066 0.0000  1 Ni 2.88, 4 Ir 2.88, 6 Zn 3.16
Dy 0.0000 0.5934 0.0000  1 Ni 2.88, 4 Ir 2.88, 6 Zn 3.16
Ir 0.6667 0.3333 0.5000  3 Zn 2.76, 6 Dy 2.88
Ir 0.3333 0.6667 0.5000  3 Zn 2.76, 6 Dy 2.88
Ni 0.0000 0.0000 0.0000  6 Zn 2.56
Zn 0.2395 0.0000 0.5000  2 Ni 2.56, 2 Ir 2.76
Zn 0.0000 0.2395 0.5000  2 Ni 2.56, 2 Ir 2.76
Zn 0.7605 0.7605 0.5000  2 Ni 2.56, 2 Ir 2.76

Calculated values
Its formation energy is -0.636 eV per atom. For the raw total energy, the calculation gives -5.178 eV per atom. The value obtained for the magnetization is 0.02 μB/f.u.

=====

Here is a relaxed DyNpIr crystal from OQMD. Energies are from PBE-GGA.

Cell: 4.7153 4.7153 4.7153 Å, 60.00 60.00 60.00°
Closest atoms and distances in Å follow each position.
Atoms (fractional coordinates):
Dy 0.7500 0.7500 0.7500  4 Ir 2.89
Ir 0.0000 0.0000 0.0000  4 Np 2.89, 4 Dy 2.89
Np 0.2500 0.2500 0.2500  4 Ir 2.89

Calculated values
Its formation energy is -0.229 eV per atom. For the raw total energy, the calculation gives -8.971 eV per atom. The value obtained for the magnetization is 4.61 μB/f.u.

=====

Which of these has the highest raw total energy? Dy3Zn3Ni2Ir

=====

Which of these has the lowest magnetization? TbDy2NiSn3Ir2

=====

Which of these has the lowest raw total energy? DyNpIr

=====

Among the records above, which one has the lowest raw total energy? DyNpIr